Pr14ErTl: relaxed, PBE.

abc: 10.4268 10.3277 10.3321
angles: 90.00 90.00 90.00
Space group Amm2 (No. 38)
One atom of each set of equivalent atoms:
Pr  0.0000  0.0000  0.0000 x2
Pr  0.0000  0.0000  0.5000 x2
Pr  0.0000  0.2503  0.2500 x4
Pr  0.2552  0.0000  0.2490 x4
Pr  0.2555  0.2488  0.0000 x8
Pr  0.2558  0.0000  0.7512 x4
Pr  0.5000  0.2494  0.2499 x4
Er  0.5000  0.0000  0.5001 x2
Tl  0.5000  0.0000  0.0002 x2

Values from the calculation:
- calculated density (g/cm3) = 7.0
- ΔE_f (meV per atom) = -29
- total DFT energy (no corrections) (eV per cell) = -148.6



AlCl: relaxed, PBE.

abc: 7.0853 7.0853 7.0853
angles: 90.00 90.00 90.00
Space group Fd-3m (No. 227, origin choice 2)
One atom of each set of equivalent atoms:
Al  0.1250  0.1250  0.1250 x8
Cl  0.1250  0.1250  0.6250 x8

Values from the calculation:
- calculated density (g/cm3) = 2.3
- total DFT energy (no corrections) (eV per cell) = -45.6
- E_form (uncorrected) (kJ/mol of atoms) = -5.2



SnH2Pd4: relaxed, PBE.

abc: 4.0498 5.7946 7.8735
angles: 80.75 75.10 89.91
Space group P1 (No. 1)
One atom of each set of equivalent atoms:
Sn  0.0000  0.0000  0.0000 x1
Sn  0.2149  0.6150  0.5710 x1
H  0.1045  0.4663  0.1966 x1
H  0.5162  0.1497  0.3744 x1
H  0.5593  0.5215  0.9445 x1
H  0.7180  0.0928  0.6264 x1
Pd  0.0107  0.5166  0.9742 x1
Pd  0.1997  0.0981  0.5969 x1
Pd  0.4087  0.7119  0.1849 x1
Pd  0.4143  0.2116  0.1666 x1
Pd  0.6054  0.3070  0.7858 x1
Pd  0.6111  0.8071  0.7853 x1
Pd  0.7959  0.4031  0.4049 x1
Pd  0.8079  0.9028  0.3859 x1

Values from the calculation:
- calculated density (g/cm3) = 10.3
- total DFT energy (no corrections) (eV per cell) = -67.2
- relative energy among the computed polymorphs (meV/atom) = 0



NdIn2Sn3: relaxed, PBE.

abc: 6.4552 10.8103 19.0636
angles: 90.00 90.00 90.00
Space group Fmmm (No. 69)
One atom of each set of equivalent atoms:
Nd  0.0000  0.0000  0.1622 x8
In  0.2436  0.0000  0.0000 x8
In  0.2500  0.2500  0.2500 x8
Sn  0.0000  0.0000  0.3288 x8
Sn  0.0000  0.2278  0.4167 x16

Values from the calculation:
- calculated density (g/cm3) = 7.3
- ΔE_f (meV per atom) = -220
- total DFT energy (no corrections) (eV per cell) = -188.6



LaPmGaIr: relaxed, PBE.

abc: 4.3687 4.3759 10.5348
angles: 90.00 90.00 90.00
Space group Amm2 (No. 38)
One atom of each set of equivalent atoms:
La  0.0000  0.0000  0.0000 x2
Pm  0.5000  0.0000  0.2862 x2
Ga  0.5000  0.0000  0.5850 x2
Ir  0.0000  0.0000  0.7232 x2

Values from the calculation:
- calculated density (g/cm3) = 9.0
- ΔE_f (meV per atom) = -652
- total DFT energy (no corrections) (eV per cell) = -48.3
- relative energy among the computed polymorphs (meV/atom) = 0



Repeat the first record exactly.
Pr14ErTl: relaxed, PBE.

abc: 10.4268 10.3277 10.3321
angles: 90.00 90.00 90.00
Space group Amm2 (No. 38)
One atom of each set of equivalent atoms:
Pr  0.0000  0.0000  0.0000 x2
Pr  0.0000  0.0000  0.5000 x2
Pr  0.0000  0.2503  0.2500 x4
Pr  0.2552  0.0000  0.2490 x4
Pr  0.2555  0.2488  0.0000 x8
Pr  0.2558  0.0000  0.7512 x4
Pr  0.5000  0.2494  0.2499 x4
Er  0.5000  0.0000  0.5001 x2
Tl  0.5000  0.0000  0.0002 x2

Values from the calculation:
- calculated density (g/cm3) = 7.0
- ΔE_f (meV per atom) = -29
- total DFT energy (no corrections) (eV per cell) = -148.6



The highest calculated density belongs to which entry?
SnH2Pd4